1.
VASP calculation (PBE) on a relaxed Ce2SbRu crystal.

- Polymorph energy (0 for the lowest one): 0 meV/atom
- Symmetry: No. 11

abc: 4.4433 4.5098 10.1643
angles: 90.00 90.04 90.00
Fractional positions:
Ce  0.2494  0.2500  0.1340
Ce  0.2501  0.7500  0.5818
Ce  0.7499  0.2500  0.4182
Ce  0.7506  0.7500  0.8660
Sb  0.2506  0.2500  0.8168
Sb  0.7494  0.7500  0.1832
Ru  0.2497  0.7500  0.3580
Ru  0.7503  0.2500  0.6420



2.
VASP calculation (PBE) on a relaxed CeSbRu crystal.

- Calculated total energy: -7.01 eV per atom
- Symmetry: No. 187

abc: 4.6311 4.6311 3.5904
angles: 90.00 90.00 120.00
Fractional positions:
Ce  0.0000  0.0000  0.0000
Sb  0.3333  0.6667  0.5000
Ru  0.6667  0.3333  0.5000



3.
VASP calculation (PBE) on a relaxed Ce4Sb8Ru3 crystal.

- Calculated total energy: -6.29 eV per atom
- Symmetry: No. 115

abc: 4.4489 4.4489 19.0569
angles: 90.00 90.00 90.00
Fractional positions:
Ce  0.0000  0.5000  0.1139
Ce  0.0000  0.5000  0.6202
Ce  0.5000  0.0000  0.3798
Ce  0.5000  0.0000  0.8861
Sb  0.0000  0.0000  0.2464
Sb  0.0000  0.0000  0.7536
Sb  0.0000  0.5000  0.4225
Sb  0.0000  0.5000  0.9294
Sb  0.5000  0.0000  0.0706
Sb  0.5000  0.0000  0.5775
Sb  0.5000  0.5000  0.2463
Sb  0.5000  0.5000  0.7537
Ru  0.0000  0.0000  0.0000
Ru  0.0000  0.0000  0.5000
Ru  0.5000  0.5000  0.5000



4.
VASP calculation (PBE) on a relaxed Ce6Sb3Ru crystal.

- Calculated total energy: -6.33 eV per atom
- Symmetry: No. 14

abc: 5.9592 8.6461 12.5391
angles: 90.00 118.12 90.00
Fractional positions:
Ce  0.0043  0.1720  0.4498
Ce  0.0043  0.3280  0.9498
Ce  0.3343  0.0192  0.2275
Ce  0.3343  0.4808  0.7275
Ce  0.3661  0.6462  0.4436
Ce  0.3661  0.8538  0.9436
Ce  0.6339  0.1462  0.0564
Ce  0.6339  0.3538  0.5564
Ce  0.6657  0.5192  0.2725
Ce  0.6657  0.9808  0.7725
Ce  0.9957  0.6720  0.0502
Ce  0.9957  0.8280  0.5502
Sb  0.1486  0.1378  0.7482
Sb  0.1486  0.3622  0.2482
Sb  0.5000  0.0000  0.5000
Sb  0.5000  0.5000  0.0000
Sb  0.8514  0.6378  0.7518
Sb  0.8514  0.8622  0.2518
Ru  0.0000  0.0000  0.0000
Ru  0.0000  0.5000  0.5000



5.
VASP calculation (PBE) on a relaxed Ce4SbRu2 crystal.

- Calculated total energy: -7.09 eV per atom
- Symmetry: No. 43

abc: 8.1766 7.1039 8.8964
angles: 60.23 48.95 70.81
Fractional positions:
Ce  0.0310  0.9690  0.1516
Ce  0.0984  0.4016  0.2190
Ce  0.1584  0.5156  0.7584
Ce  0.4016  0.0984  0.2810
Ce  0.4916  0.6824  0.0916
Ce  0.5156  0.1584  0.5676
Ce  0.6824  0.4916  0.7344
Ce  0.9690  0.0310  0.8484
Sb  0.6603  0.6603  0.3397
Sb  0.9103  0.9103  0.5897
Ru  0.1273  0.5110  0.4540
Ru  0.3423  0.7960  0.7390
Ru  0.5110  0.1273  0.9077
Ru  0.7960  0.3423  0.1227



6.
VASP calculation (PBE) on a relaxed CeSbRu2 crystal.

- Calculated total energy: -7.51 eV per atom
- Symmetry: No. 123

abc: 4.4807 4.4807 3.7181
angles: 90.00 90.00 90.00
Fractional positions:
Ce  0.0000  0.0000  0.0000
Sb  0.5000  0.5000  0.0000
Ru  0.0000  0.5000  0.5000
Ru  0.5000  0.0000  0.5000



7.
VASP calculation (PBE) on a relaxed Ce7Sb2Ru2 crystal.

- Calculated total energy: -6.65 eV per atom
- Symmetry: No. 12

abc: 6.1548 6.1548 8.4534
angles: 95.06 95.06 105.93
Fractional positions:
Ce  0.0000  0.0000  0.0000
Ce  0.1363  0.5059  0.8118
Ce  0.2638  0.2638  0.3882
Ce  0.4941  0.8637  0.1882
Ce  0.5059  0.1363  0.8118
Ce  0.7362  0.7362  0.6118
Ce  0.8637  0.4941  0.1882
Sb  0.2302  0.7698  0.5000
Sb  0.7698  0.2302  0.5000
Ru  0.3340  0.3340  0.0861
Ru  0.6660  0.6660  0.9139



8.
VASP calculation (PBE) on a relaxed Ce5Sb2Ru2 crystal.

- Calculated total energy: -6.76 eV per atom
- Symmetry: No. 46

abc: 10.1328 10.1328 10.1328
angles: 65.96 126.57 144.26
Fractional positions:
Ce  0.2116  0.0524  0.2640
Ce  0.2116  0.4476  0.6592
Ce  0.2169  0.0597  0.6572
Ce  0.4025  0.5597  0.3428
Ce  0.7032  0.1548  0.2470
Ce  0.7032  0.9562  0.0483
Ce  0.7884  0.5524  0.3408
Ce  0.7884  0.9476  0.7360
Ce  0.9078  0.4562  0.7530
Ce  0.9078  0.6548  0.9517
Sb  0.2444  0.4051  0.0189
Sb  0.2444  0.7255  0.3394
Sb  0.3861  0.2255  0.9811
Sb  0.3861  0.9051  0.6606
Ru  0.7008  0.5665  0.6343
Ru  0.7089  0.2089  0.5000
Ru  0.7089  0.7089  0.0000
Ru  0.9322  0.0665  0.3657



9.
VASP calculation (PBE) on a relaxed Ce3Sb2Ru crystal.

- Polymorph energy (0 for the lowest one): 170 meV/atom
- Symmetry: No. 15

abc: 7.0275 7.0275 7.9515
angles: 100.84 100.84 66.39
Fractional positions:
Ce  0.1633  0.8367  0.7500
Ce  0.3028  0.3594  0.9999
Ce  0.3594  0.3028  0.4999
Ce  0.6407  0.6972  0.5001
Ce  0.6972  0.6407  0.0001
Ce  0.8367  0.1633  0.2500
Sb  0.0243  0.6862  0.3317
Sb  0.3138  0.9757  0.1683
Sb  0.6862  0.0243  0.8317
Sb  0.9757  0.3138  0.6683
Ru  0.4302  0.5698  0.2500
Ru  0.5698  0.4302  0.7500



10.
VASP calculation (PBE) on a relaxed Ce2SbRu crystal.

- Polymorph energy (0 for the lowest one): 195 meV/atom
- Symmetry: No. 123

abc: 3.8489 3.8489 6.3109
angles: 90.00 90.00 90.00
Fractional positions:
Ce  0.0000  0.0000  0.2225
Ce  0.0000  0.0000  0.7775
Sb  0.5000  0.5000  0.5000
Ru  0.5000  0.5000  0.0000



11.
VASP calculation (PBE) on a relaxed Ce4SbRu crystal.

- Polymorph energy (0 for the lowest one): 17 meV/atom
- Symmetry: No. 15

abc: 7.6814 7.6814 5.9854
angles: 101.29 101.29 112.43
Fractional positions:
Ce  0.0697  0.6815  0.9172
Ce  0.1748  0.3689  0.6660
Ce  0.3185  0.9303  0.5828
Ce  0.3689  0.1748  0.1660
Ce  0.6311  0.8252  0.8340
Ce  0.6815  0.0697  0.4172
Ce  0.8252  0.6311  0.3340
Ce  0.9303  0.3185  0.0828
Sb  0.3930  0.6070  0.2500
Sb  0.6070  0.3930  0.7500
Ru  0.0043  0.9957  0.2500
Ru  0.9957  0.0043  0.7500



12.
VASP calculation (PBE) on a relaxed Ce12Sb6Ru crystal.

- Calculated total energy: -6.08 eV per atom
- Symmetry: No. 148

abc: 8.1906 8.1906 8.1906
angles: 96.91 96.91 96.91
Fractional positions:
Ce  0.0048  0.9079  0.6678
Ce  0.0921  0.3322  0.9952
Ce  0.1731  0.4085  0.5096
Ce  0.3322  0.9952  0.0921
Ce  0.4085  0.5096  0.1731
Ce  0.4904  0.8269  0.5915
Ce  0.5096  0.1731  0.4085
Ce  0.5915  0.4904  0.8269
Ce  0.6678  0.0048  0.9079
Ce  0.8269  0.5915  0.4904
Ce  0.9079  0.6678  0.0048
Ce  0.9952  0.0921  0.3322
Sb  0.1618  0.7437  0.3376
Sb  0.2563  0.6624  0.8382
Sb  0.3376  0.1618  0.7437
Sb  0.6624  0.8382  0.2563
Sb  0.7437  0.3376  0.1618
Sb  0.8382  0.2563  0.6624
Ru  0.0000  0.0000  0.0000



Q: What is the formula in the ninth record?
A: Ce3Sb2Ru